(1)
This record from Alexandria via LeMat-Bulk describes Nd2Zn3Ge4Pd after structural relaxation. The functional is PBE.

The structure in POSCAR format:
```
Nd2Zn3Ge4Pd
1.0
4.278 0.000 0.000
0.000 4.278 0.000
0.000 0.000 10.620
Nd Zn Ge Pd
2 3 4 1
Direct
0.000 0.500 0.243
0.500 0.000 0.757
0.000 0.000 0.000
0.000 0.500 0.637
0.500 0.000 0.363
0.000 0.000 0.500
0.000 0.500 0.866
0.500 0.000 0.134
0.500 0.500 0.500
0.500 0.500 0.000
```

Computed properties:
space-group type	P-4m2 (115)
spin magnetization	0.000	μB per cell


(2)
This record from Alexandria via LeMat-Bulk describes Nd2ZnGePd6 after structural relaxation. The functional is PBE.

The structure in POSCAR format:
```
Nd2ZnGePd6
1.0
5.517 0.000 0.000
2.743 5.877 0.000
2.755 -0.594 5.930
Nd Zn Ge Pd
2 1 1 6
Direct
0.245 0.251 0.255
0.755 0.749 0.745
0.500 0.500 0.500
0.000 0.000 0.000
0.204 0.801 0.293
0.252 0.578 0.919
0.298 0.198 0.706
0.702 0.802 0.294
0.748 0.422 0.081
0.796 0.199 0.707
```

Computed properties:
space-group type	P-1 (2)
spin magnetization	0.000	μB per cell


| no. | E_form (eV/atom) |
| --- | --- |
| 1 | -0.521 |
| 2 | -0.640 |